Tb3ErZn2 | PBE | optimized geometry

Cell lengths 5.042, 9.095, 6.721 Å; angles 90.00, 90.00, 90.00 degrees
Fractional coordinates of all 12 atoms:
Tb1 0.000 0.055 0.000
Tb2 0.000 0.329 0.343
Tb3 0.000 0.671 0.843
Tb4 0.000 0.945 0.500
Tb5 0.500 0.176 0.683
Tb6 0.500 0.824 0.183
Er1 0.500 0.445 0.029
Er2 0.500 0.555 0.529
Zn1 0.000 0.350 0.790
Zn2 0.000 0.650 0.290
Zn3 0.500 0.152 0.238
Zn4 0.500 0.848 0.738

raw total energy: -3.73 eV per atom
ΔE to the lowest computed polymorph: 0 meV per atom
size of the total moment: 0.00 μB/f.u.
formation enthalpy at 0 K: -0.2289 eV per atom